Below is a relaxed structure of Cs5Pd3O3, with properties calculated at the PBE level.

a = 9.6935 Å, b = 9.6935 Å, c = 4.0389 Å
α = 90.00°, β = 90.00°, γ = 120.00°
Last column: nearest neighbours and their distance in Å.
Space group P-62m (No. 189)
Asymmetric unit:
Cs (0.0000, 0.7450, 0.0000)  2 O 3.12
Cs (0.3333, 0.6667, 0.0000)  3 O 3.10
Pd (0.0000, 0.3603, 0.5000)  2 O 2.02
O (0.0000, 0.3615, 0.0000)  2 Pd 2.02

Formation energy (no corrections) = -0.66 eV per atom

***

Below is a relaxed structure of Ho2TmPd9, with properties calculated at the PBE level.

a = 4.1073 Å, b = 4.1073 Å, c = 12.3226 Å
α = 90.00°, β = 90.00°, γ = 90.00°
Last column: nearest neighbours and their distance in Å.
Space group P4/mmm (No. 123)
Asymmetric unit:
Ho (0.0000, 0.0000, 0.1676)  12 Pd 2.90-2.91
Tm (0.0000, 0.0000, 0.5000)  12 Pd 2.89-2.90
Pd (0.0000, 0.5000, 0.0000)  8 Pd 2.90-2.91, 4 Ho 2.91
Pd (0.0000, 0.5000, 0.3346)  2 Tm 2.89, 8 Pd 2.89-2.91, 2 Ho 2.91
Pd (0.5000, 0.5000, 0.1670)  4 Ho 2.90, 8 Pd 2.91
Pd (0.5000, 0.5000, 0.5000)  8 Pd 2.89, 4 Tm 2.90

DFT formation energy = -892 meV/atom

***

One value per record, in order, for magnetic moment: 0.10, 0.00 μB/atom.
One value per record, in order, for electronic total energy: -42.02, -71.07 eV for the cell shown.